A plane-wave DFT calculation with PBE+U was carried out for crystalline VCdSbO2 at its relaxed geometry.

Values from the calculation:
Volume in Å³/atom: 19.8
Calculated density in kg/m3: 5311
Space group: No. 123
Crystal system: tetragonal
Calculated total energy in eV per atom: -3.566
Fermi-level density of states in states/eV/cell: 11.3

The structure in POSCAR format:
```
VCdSbO2
1.0
4.0517 0.0000 0.0000
0.0000 4.0517 0.0000
0.0000 0.0000 6.0398
V Cd Sb O
1 1 1 2
Cartesian
0.0000 0.0000 0.0000
2.0259 2.0259 3.0199
2.0259 2.0259 0.0000
0.0000 2.0259 3.0199
2.0259 0.0000 3.0199
```